--- w ---
The following is a DFT calculation (PBE+U) of crystalline Cu2NiO4 at its relaxed geometry.

Cell: 5.5138 5.5138 6.4620 Å, 115.25 115.25 90.00°
Last column: magnetic moment on the atom in μB.
Positions (direct):
O: 0.1387 0.3683 0.2775  0.08
O: 0.1387 0.9091 0.2775  0.08
O: 0.0909 0.8613 0.7225  0.08
O: 0.6113 0.8817 0.2225  0.08
O: 0.6113 0.3409 0.2225  0.08
O: 0.1183 0.3887 0.7775  0.08
O: 0.6591 0.3887 0.7775  0.08
O: 0.6317 0.8613 0.7225  0.08
Cu: 0.8750 0.1250 0.7500  -0.15
Cu: 0.8750 0.6250 0.7500  -0.15
Cu: 0.8750 0.1250 0.2500  -0.15
Cu: 0.3750 0.1250 0.2500  -0.15
Ni: 0.2500 0.7500 0.5000  1.90
Ni: 0.5000 0.5000 0.0000  1.90

Results
Its space group is I4_1/amd, No. 141. Its total moment is 0.29 μB/atom. The crystal system is tetragonal.

***

--- x ---
The following is a DFT calculation (PBE+U) of crystalline Cu2NiO4 at its relaxed geometry.

Cell: 6.1134 6.1134 5.3622 Å, 65.23 65.23 104.83°
Last column: magnetic moment on the atom in μB.
Positions (direct):
Cu: 0.5000 0.5000 0.5000  0.02
Cu: 0.5000 0.0000 0.0000  0.03
Cu: 0.5000 0.5000 0.0000  0.02
Cu: 0.0000 0.5000 0.5000  0.03
O: 0.1166 0.2824 0.7223  0.05
O: 0.4833 0.1588 0.6364  0.03
O: 0.2824 0.1166 0.2223  0.05
O: 0.8834 0.7176 0.2777  0.05
O: 0.7176 0.8834 0.7777  0.05
O: 0.1588 0.4833 0.1364  0.03
O: 0.5167 0.8412 0.3636  0.03
O: 0.8412 0.5167 0.8636  0.03
Ni: 0.9170 0.0830 0.2500  1.77
Ni: 0.0830 0.9170 0.7500  1.77

Results
Its space group is C2/c, No. 15. Its total moment is 0.29 μB/atom. The crystal system is monoclinic.

***

Consider the structures shown above. The most stable of them is x.